SmPa2Se6 after structural relaxation. Source: Alexandria via LeMat-Bulk, functional PBE.

Summary:
- DOS at the Fermi energy: 6.53 states/eV/cell
- Raw formation energy: -1.149 eV/atom

```
SmPa2Se6
1.0
-2.6653 2.6653 10.3607
2.6653 -2.6653 10.3607
2.6653 2.6653 -10.3607
Sm Pa Se
1 2 6
Cartesian
0.0000 0.0000 0.0000 Sm
0.0000 0.0000 6.4932 Pa
0.0000 0.0000 14.2283 Pa
1.2481 -1.2481 8.4552 Se
2.6653 0.0000 5.1804 Se
1.4172 1.4172 1.9055 Se
-1.2481 1.2481 8.4552 Se
0.0000 2.6653 5.1804 Se
1.2481 1.2481 12.2663 Se
```

SmPa6Se8 after structural relaxation. Source: Alexandria via LeMat-Bulk, functional PBE.

Summary:
- DOS at the Fermi energy: 22.16 states/eV/cell
- Raw formation energy: -1.359 eV/atom

```
SmPa6Se8
1.0
0.0000 5.7279 5.7279
5.7279 0.0000 5.7279
5.7279 5.7279 0.0000
Sm Pa Se
1 6 8
Cartesian
0.0000 0.0000 0.0000 Sm
2.8640 2.8640 0.0000 Pa
2.8640 0.0000 2.8640 Pa
5.7279 2.8640 2.8640 Pa
0.0000 2.8640 2.8640 Pa
2.8640 5.7279 2.8640 Pa
2.8640 2.8640 5.7279 Pa
2.8640 2.8640 2.8640 Se
5.7279 5.7279 2.9896 Se
5.7279 2.9896 5.7279 Se
8.4663 5.7279 5.7279 Se
2.9896 5.7279 5.7279 Se
5.7279 8.4663 5.7279 Se
5.7279 5.7279 8.4663 Se
8.5919 8.5919 8.5919 Se
```